(1)
DFT (PBE) results for a geometry-optimized BPI2Cl structure.

Results
**ΔE_f (raw)**: 0.977 eV per atom
**Raw total energy**: -2.429 eV per atom
**Space-group type**: P4/mmm, No. 123

Geometry as POSCAR:
```
BPI2Cl
1.0
5.5453 0.0000 0.0000
0.0000 5.5453 0.0000
0.0000 0.0000 4.7533
B P I Cl
1 1 2 1
direct
0.0000 0.0000 0.0000
0.5000 0.5000 0.5000
0.0000 0.5000 0.5000
0.5000 0.0000 0.5000
0.5000 0.5000 0.0000
```

***

(2)
DFT (PBE) results for a geometry-optimized Sm5Dy4Ho structure.

Results
**Formation enthalpy at 0 K**: 0.264 eV per atom
**Raw total energy**: -4.394 eV per atom
**Space-group type**: I4mm, No. 107
**Distance to the lowest polymorph of the same formula**: 247.8 meV/atom

Geometry as POSCAR:
```
Sm5Dy4Ho
1.0
-5.2942 5.2942 2.9928
5.2942 -5.2942 2.9928
5.2942 5.2942 -2.9928
Sm Dy Ho
5 4 1
direct
0.0000 0.0000 0.0000
0.0778 0.0778 0.6216
0.0778 0.4562 0.0000
0.4562 0.0778 0.0000
0.4562 0.4562 0.3784
0.0837 0.7584 0.3252
0.4332 0.7584 0.6748
0.7584 0.0837 0.3252
0.7584 0.4332 0.6748
0.5313 0.5313 0.0000
```

***

(3)
DFT (PBE) results for a geometry-optimized CoHCSe structure.

Results
**Raw total energy**: -5.484 eV per atom
**Space-group type**: P1, No. 1
**Distance to the lowest polymorph of the same formula**: 0.0 meV/atom

Geometry as POSCAR:
```
CoHCSe
1.0
2.5791 0.0000 0.0000
0.0001 2.5792 0.0000
0.0620 0.0238 7.4906
Co H C Se
1 1 1 1
direct
0.0000 0.0000 0.0000
0.5062 0.5024 0.7446
0.5026 0.5010 0.8914
0.9921 0.9969 0.3290
```

***

(4)
DFT (PBE) results for a geometry-optimized ZnTc3Pb structure.

Results
**Formation enthalpy at 0 K**: 2.423 eV per atom
**Raw total energy**: -4.793 eV per atom
**Space-group type**: Pm-3m, No. 221
**Distance to the lowest polymorph of the same formula**: 946.5 meV/atom

Geometry as POSCAR:
```
ZnTc3Pb
1.0
5.0725 0.0000 0.0000
0.0000 5.0725 0.0000
0.0000 0.0000 5.0725
Zn Tc Pb
1 3 1
direct
0.0000 0.0000 0.0000
0.0000 0.5000 0.5000
0.5000 0.0000 0.5000
0.5000 0.5000 0.0000
0.5000 0.5000 0.5000
```

***

Computed values of DOS at the Fermi energy (unit: states/eV per atom) for the preceding records, in sequence: 0.650; 1.396; 0.469; 0.491.
Computed values of calculated volume (unit: Å³/cell) for the preceding records, in sequence: 146.2; 335.5; 49.8; 130.5.